# 1
Entry from the Open Quantum Materials Database: HfNbNiGe2 after structural relaxation (PBE).

The total energy is -150.92 eV/cell.

The structure belongs to space group C2/m (No. 12); the cell edges are 9.696, 3.943 and 9.453 Å and the angles 90.00°, 118.14° and 90.00°. The asymmetric unit holds Hf at (0.007, 0.000, 0.178), Nb at (0.187, 0.000, 0.602), Ni at (0.212, 0.500, 0.844), Ge at (0.034, 0.500, 0.386) and Ge at (0.153, 0.500, 0.068).

=====

# 2
Entry from the Open Quantum Materials Database: NdZn2 after structural relaxation (PBE).

Its calculated formation energy is -0.10 eV/atom.

The structure belongs to space group Pmmn (No. 59, origin choice 2); the cell edges are 4.758, 10.721 and 4.997 Å and the angles 90.00°, 90.00° and 90.00°. The asymmetric unit holds Nd at (0.250, 0.078, 0.135), Zn at (0.250, 0.250, 0.641), Zn at (0.250, 0.629, 0.535) and Zn at (0.250, 0.750, 0.050).

=====

# 3
Entry from the Open Quantum Materials Database: LuGaTc after structural relaxation (PBE).

The total energy is -70.03 eV/cell.

The structure belongs to space group F-43m (No. 216); the cell edges are 6.297, 6.297 and 6.297 Å and the angles 90.00°, 90.00° and 90.00°. The asymmetric unit holds Lu at (0.000, 0.000, 0.000), Ga at (0.000, 0.000, 0.500) and Tc at (0.250, 0.250, 0.750).

=====

# 4
Entry from the Open Quantum Materials Database: Lu4As2CN after structural relaxation (PBE).

The total energy is -53.83 eV/cell.

The structure belongs to space group P-3m1 (No. 164); the cell edges are 3.5785, 3.5785 and 13.1295 Å and the angles 90.00°, 90.00° and 120.00°. The asymmetric unit holds Lu at (0.3333, 0.6667, 0.0989), Lu at (0.3333, 0.6667, 0.4012), As at (0.3333, 0.6667, 0.7459), C at (0.0000, 0.0000, 0.0000) and N at (0.0000, 0.0000, 0.5000).

=====

# 5
Entry from the Open Quantum Materials Database: ZrCo2SiB after structural relaxation (PBE).

The total energy is -76.70 eV/cell.

The structure belongs to space group I4mm (No. 107); the cell edges are 3.625, 3.625 and 9.073 Å and the angles 90.00°, 90.00° and 90.00°. The asymmetric unit holds Zr at (0.000, 0.000, 0.000), Co at (0.000, 0.500, 0.268), Si at (0.000, 0.000, 0.621) and B at (0.000, 0.000, 0.382).

=====

# 6
Entry from the Open Quantum Materials Database: LiCoBiMo after structural relaxation (PBE).

The total energy is -88.84 eV/cell.

The structure belongs to space group F-43m (No. 216); the cell edges are 6.287, 6.287 and 6.287 Å and the angles 90.00°, 90.00° and 90.00°. The asymmetric unit holds Li at (0.000, 0.000, 0.000), Co at (0.000, 0.000, 0.500), Bi at (0.250, 0.250, 0.250) and Mo at (0.250, 0.250, 0.750).